# 1
The following is a DFT calculation (PBE-GGA) of a relaxed structure of LaMn2Al2C.

```
data_LaMn2Al2C
_chemical_formula_sum 'La1 Mn2 Al2 C1'
_symmetry_space_group_name_H-M 'P 4/m m m'
_symmetry_Int_Tables_number 123
_symmetry_space_group_name_Hall '-P 4 2'
_cell_length_a 3.9704
_cell_length_b 3.9704
_cell_length_c 5.7973
_cell_angle_alpha 90.00
_cell_angle_beta 90.00
_cell_angle_gamma 90.00
loop_
_atom_site_label
_atom_site_type_symbol
_atom_site_fract_x
_atom_site_fract_y
_atom_site_fract_z
La1 La 0.0000 0.0000 0.0000
Mn1 Mn 0.0000 0.5000 0.5000
Al1 Al 0.5000 0.5000 0.2427
C1 C 0.0000 0.0000 0.5000
```

## Properties
Total moment ... 1.6 Bohr magnetons per cell
Calculated volume ... 91.4 Å³/f.u.
Energy relative to the elements ... -0.28 eV/atom
Crystal system ... tetragonal
E_tot ... -41.65 eV/cell
Density of states at the Fermi level ... 3.00 states/eV/cell


# 2
The following is a DFT calculation (PBE-GGA) of a relaxed structure of Pr4SmSn.

```
data_Pr4SmSn
_chemical_formula_sum 'Pr16 Sm4 Sn4'
_symmetry_space_group_name_H-M 'C m c m'
_symmetry_Int_Tables_number 63
_symmetry_space_group_name_Hall '-C 2c 2'
_cell_length_a 5.4770
_cell_length_b 24.1071
_cell_length_c 6.8136
_cell_angle_alpha 90.00
_cell_angle_beta 90.00
_cell_angle_gamma 90.00
loop_
_atom_site_label
_atom_site_type_symbol
_atom_site_fract_x
_atom_site_fract_y
_atom_site_fract_z
Pr1 Pr 0.0000 0.0820 0.2500
Pr2 Pr 0.0000 0.2038 0.0026
Pr3 Pr 0.0000 0.3582 0.2500
Sm1 Sm 0.0000 0.0610 0.7500
Sn1 Sn 0.0000 0.3327 0.7500
```

## Properties
Total moment ... 0.0 Bohr magnetons per cell
Calculated volume ... 224.9 Å³/f.u.
Energy relative to the elements ... 0.05 eV/atom
Crystal system ... orthorhombic
E_tot ... -110.26 eV/cell
Density of states at the Fermi level ... 36.12 states/eV/cell


# 3
The following is a DFT calculation (PBE-GGA) of a relaxed structure of PmNdSm5Tm2.

```
data_PmNdSm5Tm2
_chemical_formula_sum 'Pm4 Nd4 Sm20 Tm8'
_symmetry_space_group_name_H-M 'C m c 21'
_symmetry_Int_Tables_number 36
_cell_length_a 5.6706
_cell_length_b 20.2424
_cell_length_c 10.6403
_cell_angle_alpha 90.00
_cell_angle_beta 90.00
_cell_angle_gamma 90.00
loop_
_symmetry_equiv_pos_as_xyz
'x,y,z'
'-x,-y,z+1/2'
'-x,y,z'
'x,-y,z+1/2'
'x+1/2,y+1/2,z'
'-x+1/2,-y+1/2,z+1/2'
'-x+1/2,y+1/2,z'
'x+1/2,-y+1/2,z+1/2'
loop_
_atom_site_label
_atom_site_type_symbol
_atom_site_fract_x
_atom_site_fract_y
_atom_site_fract_z
Pm1 Pm 0.0000 0.2003 0.0000
Nd1 Nd 0.0000 0.4146 0.4379
Sm1 Sm 0.0000 0.0168 0.0127
Sm2 Sm 0.0000 0.2810 0.2993
Sm3 Sm 0.0000 0.2975 0.6952
Sm4 Sm 0.0000 0.3907 0.0144
Sm5 Sm 0.0000 0.4773 0.7277
Tm1 Tm 0.0000 0.1115 0.7236
Tm2 Tm 0.0000 0.1160 0.3102
```

## Properties
Total moment ... 0.0 Bohr magnetons per cell
Calculated volume ... 305.3 Å³/f.u.
Energy relative to the elements ... 0.15 eV/atom
Crystal system ... orthorhombic
E_tot ... -162.71 eV/cell
Density of states at the Fermi level ... 56.38 states/eV/cell


# 4
The following is a DFT calculation (PBE-GGA) of a relaxed structure of Re2HgCl.

```
data_Re2HgCl
_chemical_formula_sum 'Re6 Hg3 Cl3'
_symmetry_space_group_name_H-M 'R -3 m'
_symmetry_Int_Tables_number 166
_symmetry_space_group_name_Hall '-R 3 2"'
_cell_length_a 2.8983
_cell_length_b 2.8983
_cell_length_c 26.8529
_cell_angle_alpha 90.00
_cell_angle_beta 90.00
_cell_angle_gamma 120.00
loop_
_atom_site_label
_atom_site_type_symbol
_atom_site_fract_x
_atom_site_fract_y
_atom_site_fract_z
Re1 Re 0.0000 0.0000 0.2436
Hg1 Hg 0.0000 0.0000 0.0000
Cl1 Cl 0.0000 0.0000 0.5000
```

## Properties
Total moment ... 0.4 Bohr magnetons per cell
Calculated volume ... 65.1 Å³/f.u.
Crystal system ... trigonal
E_tot ... -68.74 eV/cell
ΔE_f (raw) ... 1033 meV per atom
Relative energy among the computed polymorphs ... 851 meV/atom
Density of states at the Fermi level ... 15.54 states/eV/cell


# 5
The following is a DFT calculation (PBE-GGA) of a relaxed structure of RbMg4Pb.

```
data_RbMg4Pb
_chemical_formula_sum 'Rb4 Mg16 Pb4'
_symmetry_space_group_name_H-M 'F -4 3 m'
_symmetry_Int_Tables_number 216
_symmetry_space_group_name_Hall 'F -4 2 3'
_cell_length_a 8.9442
_cell_length_b 8.9442
_cell_length_c 8.9442
_cell_angle_alpha 90.00
_cell_angle_beta 90.00
_cell_angle_gamma 90.00
loop_
_atom_site_label
_atom_site_type_symbol
_atom_site_fract_x
_atom_site_fract_y
_atom_site_fract_z
Rb1 Rb 0.0000 0.0000 0.0000
Mg1 Mg 0.1240 0.1240 0.6240
Pb1 Pb 0.2500 0.2500 0.2500
```

## Properties
Total moment ... 0.0 Bohr magnetons per cell
Calculated volume ... 178.9 Å³/f.u.
Energy relative to the elements ... 0.11 eV/atom
Crystal system ... cubic
E_tot ... -41.55 eV/cell
Density of states at the Fermi level ... 12.83 states/eV/cell


# 6
The following is a DFT calculation (PBE-GGA) of a relaxed structure of Y5Bi4As.

```
data_Y5Bi4As
_chemical_formula_sum 'Y10 Bi8 As2'
_symmetry_space_group_name_H-M 'I 4/m m m'
_symmetry_Int_Tables_number 139
_symmetry_space_group_name_Hall '-I 4 2'
_cell_length_a 4.4189
_cell_length_b 4.4189
_cell_length_c 31.1740
_cell_angle_alpha 90.00
_cell_angle_beta 90.00
_cell_angle_gamma 90.00
loop_
_atom_site_label
_atom_site_type_symbol
_atom_site_fract_x
_atom_site_fract_y
_atom_site_fract_z
Y1 Y 0.0000 0.0000 0.0000
Y2 Y 0.0000 0.0000 0.2010
Y3 Y 0.0000 0.0000 0.4074
Bi1 Bi 0.0000 0.0000 0.0996
Bi2 Bi 0.0000 0.0000 0.3030
As1 As 0.0000 0.0000 0.5000
```

## Properties
Total moment ... 0.0 Bohr magnetons per cell
Calculated volume ... 304.4 Å³/f.u.
Energy relative to the elements ... -1.00 eV/atom
Crystal system ... tetragonal
E_tot ... -124.93 eV/cell
Density of states at the Fermi level ... 2.69 states/eV/cell


# 7
The following is a DFT calculation (PBE-GGA) of a relaxed structure of CsAgCl2.

```
data_CsAgCl2
_chemical_formula_sum 'Cs4 Ag4 Cl8'
_symmetry_space_group_name_H-M 'C m c m'
_symmetry_Int_Tables_number 63
_symmetry_space_group_name_Hall '-C 2c 2'
_cell_length_a 4.4634
_cell_length_b 19.5506
_cell_length_c 5.7522
_cell_angle_alpha 90.00
_cell_angle_beta 90.00
_cell_angle_gamma 90.00
loop_
_atom_site_label
_atom_site_type_symbol
_atom_site_fract_x
_atom_site_fract_y
_atom_site_fract_z
Cs1 Cs 0.0000 0.0850 0.2500
Ag1 Ag 0.0000 0.2992 0.2500
Cl1 Cl 0.0000 0.2746 0.7500
Cl2 Cl 0.0000 0.4298 0.2500
```

## Properties
Total moment ... 0.0 Bohr magnetons per cell
Calculated volume ... 125.5 Å³/f.u.
Crystal system ... orthorhombic
E_tot ... -49.10 eV/cell
ΔE_f (raw) ... -1219 meV per atom
Relative energy among the computed polymorphs ... 9 meV/atom
Density of states at the Fermi level ... 0.00 states/eV/cell


# 8
The following is a DFT calculation (PBE-GGA) of a relaxed structure of La3InCo.

```
data_La3InCo
_chemical_formula_sum 'La6 In2 Co2'
_symmetry_space_group_name_H-M 'P 1'
_symmetry_Int_Tables_number 1
_cell_length_a 7.1135
_cell_length_b 7.1159
_cell_length_c 7.5321
_cell_angle_alpha 107.00
_cell_angle_beta 102.86
_cell_angle_gamma 117.02
loop_
_symmetry_equiv_pos_as_xyz
'x,y,z'
loop_
_atom_site_label
_atom_site_type_symbol
_atom_site_fract_x
_atom_site_fract_y
_atom_site_fract_z
La1 La 0.0000 0.0000 0.0000
La2 La 0.0018 0.0427 0.5514
La3 La 0.4241 0.9578 0.3792
La4 La 0.4324 0.9039 0.8465
La5 La 0.4901 0.4911 0.0021
La6 La 0.9144 0.4477 0.3777
In1 In 0.4766 0.5159 0.5006
In2 In 0.9235 0.4266 0.8599
Co1 Co 0.7165 0.9577 0.1830
Co2 Co 0.9474 0.7246 0.1803
```

## Properties
Total moment ... 0.0 Bohr magnetons per cell
Calculated volume ... 147.6 Å³/f.u.
Energy relative to the elements ... -0.26 eV/atom
Crystal system ... triclinic
E_tot ... -51.86 eV/cell
Relative energy among the computed polymorphs ... 31 meV/atom
Density of states at the Fermi level ... 11.28 states/eV/cell


# 9
The following is a DFT calculation (PBE-GGA) of a relaxed structure of Ba4TlPb12.

```
data_Ba4TlPb12
_chemical_formula_sum 'Ba8 Tl2 Pb24'
_symmetry_space_group_name_H-M 'I m -3 m'
_symmetry_Int_Tables_number 229
_symmetry_space_group_name_Hall '-I 4 2 3'
_cell_length_a 10.6029
_cell_length_b 10.6029
_cell_length_c 10.6029
_cell_angle_alpha 90.00
_cell_angle_beta 90.00
_cell_angle_gamma 90.00
loop_
_atom_site_label
_atom_site_type_symbol
_atom_site_fract_x
_atom_site_fract_y
_atom_site_fract_z
Ba1 Ba 0.2500 0.2500 0.2500
Tl1 Tl 0.0000 0.0000 0.0000
Pb1 Pb 0.0000 0.0000 0.3071
Pb2 Pb 0.0000 0.2500 0.5000
```

## Properties
Total moment ... 0.0 Bohr magnetons per cell
Calculated volume ... 596.0 Å³/f.u.
Energy relative to the elements ... -0.33 eV/atom
Crystal system ... cubic
E_tot ... -120.33 eV/cell
Density of states at the Fermi level ... 21.78 states/eV/cell


# 10
The following is a DFT calculation (PBE-GGA) of a relaxed structure of Ta8Ti2Ru.

```
data_Ta8Ti2Ru
_chemical_formula_sum 'Ta16 Ti4 Ru2'
_symmetry_space_group_name_H-M 'C 1 2/m 1'
_symmetry_Int_Tables_number 12
_cell_length_a 15.3776
_cell_length_b 4.6163
_cell_length_c 5.4268
_cell_angle_alpha 90.00
_cell_angle_beta 90.11
_cell_angle_gamma 90.00
loop_
_symmetry_equiv_pos_as_xyz
'x,y,z'
'-x,-y,-z'
'-x,y,-z'
'x,-y,z'
'x+1/2,y+1/2,z'
'-x+1/2,-y+1/2,-z'
'-x+1/2,y+1/2,-z'
'x+1/2,-y+1/2,z'
loop_
_atom_site_label
_atom_site_type_symbol
_atom_site_fract_x
_atom_site_fract_y
_atom_site_fract_z
Ta1 Ta 0.0443 0.0000 0.2317
Ta2 Ta 0.0892 0.5000 0.9430
Ta3 Ta 0.1772 0.5000 0.4081
Ta4 Ta 0.2278 0.0000 0.1420
Ti1 Ti 0.1397 0.0000 0.6864
Ru1 Ru 0.0000 0.5000 0.5000
```

## Properties
Total moment ... 0.0 Bohr magnetons per cell
Calculated volume ... 192.6 Å³/f.u.
Energy relative to the elements ... -0.08 eV/atom
Crystal system ... monoclinic
E_tot ... -241.53 eV/cell
Density of states at the Fermi level ... 31.13 states/eV/cell


# 11
The following is a DFT calculation (PBE-GGA) of a relaxed structure of LaHoSiAu.

```
data_LaHoSiAu
_chemical_formula_sum 'La4 Ho4 Si4 Au4'
_symmetry_space_group_name_H-M 'F -4 3 m'
_symmetry_Int_Tables_number 216
_symmetry_space_group_name_Hall 'F -4 2 3'
_cell_length_a 7.3239
_cell_length_b 7.3239
_cell_length_c 7.3239
_cell_angle_alpha 90.00
_cell_angle_beta 90.00
_cell_angle_gamma 90.00
loop_
_atom_site_label
_atom_site_type_symbol
_atom_site_fract_x
_atom_site_fract_y
_atom_site_fract_z
La1 La 0.0000 0.0000 0.0000
Ho1 Ho 0.0000 0.0000 0.5000
Si1 Si 0.2500 0.2500 0.7500
Au1 Au 0.2500 0.2500 0.2500
```

## Properties
Total moment ... 1.7 Bohr magnetons per cell
Calculated volume ... 98.2 Å³/f.u.
Crystal system ... cubic
E_tot ... -83.01 eV/cell
ΔE_f (raw) ... -637 meV per atom
Density of states at the Fermi level ... 16.27 states/eV/cell


# 12
The following is a DFT calculation (PBE-GGA) of a relaxed structure of GaCo2N.

```
data_GaCo2N
_chemical_formula_sum 'Ga3 Co6 N3'
_symmetry_space_group_name_H-M 'R -3 m'
_symmetry_Int_Tables_number 166
_symmetry_space_group_name_Hall '-R 3 2"'
_cell_length_a 2.8592
_cell_length_b 2.8592
_cell_length_c 20.3553
_cell_angle_alpha 90.00
_cell_angle_beta 90.00
_cell_angle_gamma 120.00
loop_
_atom_site_label
_atom_site_type_symbol
_atom_site_fract_x
_atom_site_fract_y
_atom_site_fract_z
Ga1 Ga 0.0000 0.0000 0.0000
Co1 Co 0.0000 0.0000 0.1189
N1 N 0.0000 0.0000 0.5000
```

## Properties
Total moment ... 0.0 Bohr magnetons per cell
Calculated volume ... 48.0 Å³/f.u.
Crystal system ... trigonal
E_tot ... -74.10 eV/cell
ΔE_f (raw) ... 216 meV per atom
Density of states at the Fermi level ... 7.13 states/eV/cell


Q: Among the records above, which one has the lowest density of states at the Fermi level?
A: CsAgCl2


Q: Which formula does entry 2 have?
A: Pr4SmSn


Q: calculated volume of number 4 (Re2HgCl)?
A: 65.1 Å³/f.u.